(1)
Compound: TmZrCd4
Source: the Alexandria database
Functional: GGA-PBE
Structure: relaxed

Output
- N(E_F): 4.39 states/eV per cell
- SG: P6/mmm, No. 191
- Formation energy from the elements: -101 kJ/mol of formula units
- Energy above the most stable polymorph in this dataset: 0.0 kJ/mol of atoms

Cell: 4.889 4.889 6.608 Å, 90.00 90.00 120.00°
Sites, in units of the cell vectors:
Tm1 0.000 0.000 0.000
Zr1 0.000 0.000 0.500
Cd1 0.333 0.667 0.262
Cd2 0.333 0.667 0.738
Cd3 0.667 0.333 0.262
Cd4 0.667 0.333 0.738


(2)
Compound: Tm3ZrCd2
Source: the Alexandria database
Functional: GGA-PBE
Structure: relaxed

Output
- N(E_F): 5.35 states/eV per cell
- SG: P4/mmm, No. 123
- Formation energy from the elements: -111 kJ/mol of formula units

Cell: 3.444 3.444 12.957 Å, 90.00 90.00 90.00°
Sites, in units of the cell vectors:
Tm1 0.000 0.000 0.000
Tm2 0.000 0.000 0.327
Tm3 0.000 0.000 0.673
Zr1 0.500 0.500 0.500
Cd1 0.500 0.500 0.161
Cd2 0.500 0.500 0.839


(3)
Compound: Tm3ZrCd4
Source: the Alexandria database
Functional: GGA-PBE
Structure: relaxed

Output
- N(E_F): 6.51 states/eV per cell
- SG: P4/mmm, No. 123
- Formation energy from the elements: -172 kJ/mol of formula units

Cell: 5.147 5.147 7.341 Å, 90.00 90.00 90.00°
Sites, in units of the cell vectors:
Tm1 0.000 0.000 0.000
Tm2 0.000 0.000 0.500
Tm3 0.500 0.500 0.000
Zr1 0.500 0.500 0.500
Cd1 0.000 0.500 0.255
Cd2 0.000 0.500 0.745
Cd3 0.500 0.000 0.255
Cd4 0.500 0.000 0.745


(4)
Compound: Tm5ZrCd6
Source: the Alexandria database
Functional: GGA-PBE
Structure: relaxed

Output
- N(E_F): 10.00 states/eV per cell
- SG: Cmmm, No. 65
- Formation energy from the elements: -292 kJ/mol of formula units

Cell: 8.190 8.190 7.360 Å, 90.00 90.00 143.24°
Sites, in units of the cell vectors:
Tm1 0.000 0.000 0.000
Tm2 0.332 0.668 0.000
Tm3 0.336 0.664 0.500
Tm4 0.664 0.336 0.500
Tm5 0.668 0.332 0.000
Zr1 0.000 0.000 0.500
Cd1 0.165 0.835 0.254
Cd2 0.165 0.835 0.746
Cd3 0.500 0.500 0.252
Cd4 0.500 0.500 0.748
Cd5 0.835 0.165 0.254
Cd6 0.835 0.165 0.746


(5)
Compound: TmZrCd
Source: the Alexandria database
Functional: GGA-PBE
Structure: relaxed

Output
- N(E_F): 6.44 states/eV per cell
- SG: P4/nmm, No. 129
- Formation energy from the elements: -28 kJ/mol of formula units
- Energy above the most stable polymorph in this dataset: 4.7 kJ/mol of atoms

Cell: 3.320 3.320 13.351 Å, 90.00 90.00 90.00°
Sites, in units of the cell vectors:
Tm1 0.250 0.250 0.244
Tm2 0.750 0.750 0.756
Zr1 0.250 0.250 0.582
Zr2 0.750 0.750 0.418
Cd1 0.250 0.250 0.926
Cd2 0.750 0.750 0.074


(6)
Compound: TmZrCd2
Source: the Alexandria database
Functional: GGA-PBE
Structure: relaxed

Output
- N(E_F): 4.37 states/eV per cell
- SG: Fm-3m, No. 225
- Formation energy from the elements: -53 kJ/mol of formula units
- Energy above the most stable polymorph in this dataset: 2.0 kJ/mol of atoms

Cell: 5.100 5.100 5.100 Å, 60.00 60.00 60.00°
Sites, in units of the cell vectors:
Tm1 0.000 0.000 0.000
Zr1 0.500 0.500 0.500
Cd1 0.250 0.250 0.250
Cd2 0.750 0.750 0.750


(7)
Compound: TmZrCd6
Source: the Alexandria database
Functional: GGA-PBE
Structure: relaxed

Output
- N(E_F): 7.29 states/eV per cell
- SG: P4/mmm, No. 123
- Formation energy from the elements: -118 kJ/mol of formula units

Cell: 4.574 4.574 8.623 Å, 90.00 90.00 90.00°
Sites, in units of the cell vectors:
Tm1 0.000 0.000 0.000
Zr1 0.000 0.000 0.500
Cd1 0.000 0.500 0.258
Cd2 0.000 0.500 0.742
Cd3 0.500 0.000 0.258
Cd4 0.500 0.000 0.742
Cd5 0.500 0.500 0.000
Cd6 0.500 0.500 0.500


(8)
Compound: Tm2ZrCd
Source: the Alexandria database
Functional: GGA-PBE
Structure: relaxed

Output
- N(E_F): 5.87 states/eV per cell
- SG: R3m, No. 160
- Formation energy from the elements: -17 kJ/mol of formula units
- Energy above the most stable polymorph in this dataset: 9.8 kJ/mol of atoms

Cell: 10.571 10.571 10.571 Å, 18.75 18.75 18.75°
Sites, in units of the cell vectors:
Tm1 0.000 0.000 0.000
Tm2 0.167 0.167 0.167
Zr1 0.417 0.417 0.417
Cd1 0.583 0.583 0.583


(9)
Compound: Tm2ZrCd3
Source: the Alexandria database
Functional: GGA-PBE
Structure: relaxed

Output
- N(E_F): 6.23 states/eV per cell
- SG: P4/mmm, No. 123
- Formation energy from the elements: -120 kJ/mol of formula units

Cell: 3.665 3.665 10.733 Å, 90.00 90.00 90.00°
Sites, in units of the cell vectors:
Tm1 0.000 0.000 0.172
Tm2 0.000 0.000 0.828
Zr1 0.000 0.000 0.500
Cd1 0.500 0.500 0.000
Cd2 0.500 0.500 0.344
Cd3 0.500 0.500 0.656


(10)
Compound: TmZrCd4
Source: the Alexandria database
Functional: GGA-PBE
Structure: relaxed

Output
- N(E_F): 5.61 states/eV per cell
- SG: F-43m, No. 216
- Formation energy from the elements: -55 kJ/mol of formula units
- Energy above the most stable polymorph in this dataset: 7.6 kJ/mol of atoms

Cell: 5.773 5.773 5.773 Å, 60.00 60.00 60.00°
Sites, in units of the cell vectors:
Tm1 0.000 0.000 0.000
Zr1 0.250 0.250 0.250
Cd1 0.126 0.625 0.625
Cd2 0.625 0.126 0.625
Cd3 0.625 0.625 0.126
Cd4 0.625 0.625 0.625


(11)
Compound: Tm3Zr2Cd2
Source: the Alexandria database
Functional: GGA-PBE
Structure: relaxed

Output
- N(E_F): 6.70 states/eV per cell
- SG: Cmmm, No. 65
- Formation energy from the elements: -50 kJ/mol of formula units

Cell: 11.389 11.389 3.276 Å, 90.00 90.00 155.07°
Sites, in units of the cell vectors:
Tm1 0.000 0.000 0.000
Tm2 0.149 0.851 0.000
Tm3 0.851 0.149 0.000
Zr1 0.277 0.723 0.500
Zr2 0.723 0.277 0.500
Cd1 0.427 0.573 0.500
Cd2 0.573 0.427 0.500


(12)
Compound: Tm3Zr2Cd3
Source: the Alexandria database
Functional: GGA-PBE
Structure: relaxed

Output
- N(E_F): 6.44 states/eV per cell
- SG: Immm, No. 71
- Formation energy from the elements: -141 kJ/mol of formula units

Cell: 11.288 11.288 11.288 Å, 162.20 153.31 32.27°
Sites, in units of the cell vectors:
Tm1 0.000 0.000 0.000
Tm2 0.368 0.868 0.500
Tm3 0.632 0.132 0.500
Zr1 0.237 0.237 0.000
Zr2 0.763 0.763 0.000
Cd1 0.119 0.619 0.500
Cd2 0.500 0.500 0.000
Cd3 0.881 0.381 0.500


(13)
Compound: Tm2ZrCd
Source: the Alexandria database
Functional: GGA-PBE
Structure: relaxed

Output
- N(E_F): 5.36 states/eV per cell
- SG: R-3m, No. 166
- Formation energy from the elements: 96 kJ/mol of formula units
- Energy above the most stable polymorph in this dataset: 38.1 kJ/mol of atoms

Cell: 11.778 11.778 11.778 Å, 15.87 15.87 15.87°
Sites, in units of the cell vectors:
Tm1 0.090 0.090 0.090
Tm2 0.910 0.910 0.910
Zr1 0.000 0.000 0.000
Cd1 0.500 0.500 0.500